Computed, not measured: a relaxed structure of NaUAu2O8 at the GGA-PBE level of DFT.

## Properties
size of the total moment = 0.00 μB per atom
density of states at the Fermi level = 7.15 states/eV per cell
energy relative to the elements, uncorrected = -0.81 eV per atom
density = 7.4 g/cm3

a = 6.1189 Å, b = 6.1189 Å, c = 6.1189 Å
α = 110.01°, β = 110.01°, γ = 108.41°
Closest atoms and distances in Å follow each position.
Positions (direct):
1 Na 0.2500 0.7500 0.5000  8 O 2.35-2.58
2 U 0.0000 0.0000 0.0000  8 O 2.08-2.32
3 Au 0.7500 0.2500 0.5000  4 O 2.05
4 Au 0.5000 0.5000 0.0000  4 O 1.96
5 O 0.3408 0.0482 0.2926  1 Au 2.05, 1 U 2.08
6 O 0.2799 0.4470 0.1671  1 Au 1.96
7 O 0.2799 0.1128 0.8329  1 Au 1.96
8 O 0.7556 0.0482 0.7074  1 Au 2.05, 1 U 2.08
9 O 0.8872 0.7201 0.1671  1 Au 1.96
10 O 0.9518 0.2444 0.2926  1 Au 2.05, 1 U 2.08
11 O 0.9518 0.6592 0.7074  1 Au 2.05, 1 U 2.08
12 O 0.5530 0.7201 0.8329  1 Au 1.96